(1)
La2SmDyTl2: relaxed, PBE.

extended XYZ file:
```
12
Lattice="5.1692 0.0000 0.0000 0.0000 10.3364 0.0000 0.0000 0.0000 6.9895" Properties=species:S:1:pos:R:3 pbc="T T T"
La 0.0000 0.6326 0.0000
La 0.0000 9.7038 3.4948
La 2.5846 1.8202 1.5772
La 2.5846 8.5162 5.0719
Sm 2.5846 4.7170 6.0939
Sm 2.5846 5.6194 2.5991
Dy 0.0000 3.1682 4.0763
Dy 0.0000 7.1682 0.5815
Tl 0.0000 4.0004 0.9382
Tl 0.0000 6.3359 4.4330
Tl 2.5846 1.5373 4.9551
Tl 2.5846 8.7990 1.4604
```

## Properties
V ... 31.12 Å³/atom
E ... -51.3 eV per cell
Space-group type ... No. 26
Energy of formation from the pure elements ... -0.2887 eV/atom
D(E_F) ... 1.077 states/eV/atom

---

(2)
La4Sm2DyTm2: relaxed, PBE.

extended XYZ file:
```
9
Lattice="9.4497 -1.8218 0.0000 9.4497 1.8218 0.0000 -0.0106 0.0000 8.9307" Properties=species:S:1:pos:R:3 pbc="T T T"
La 1.0588 0.0000 1.5407
La 5.2157 0.0000 7.3755
La 13.6731 0.0000 1.5552
La 17.8300 0.0000 7.3900
Sm 7.3575 0.0000 1.5464
Sm 11.5313 0.0000 7.3843
Dy 9.4444 0.0000 4.4653
Tm 3.1410 0.0000 4.4812
Tm 15.7478 0.0000 4.4495
```

## Properties
V ... 34.17 Å³/atom
E ... -42.4 eV per cell
Space-group type ... No. 12
Energy of formation from the pure elements ... 0.0298 eV/atom
D(E_F) ... 1.775 states/eV/atom

---

(3)
La2Sm3Dy6Tm: relaxed, PBE.

extended XYZ file:
```
12
Lattice="3.1157 -5.3951 0.0000 3.1157 5.3951 0.0000 -2.0711 0.0000 11.6917" Properties=species:S:1:pos:R:3 pbc="T T T"
La 3.1157 3.6005 0.0000
La 3.1157 -3.6005 0.0000
Sm -1.0355 0.0000 5.8459
Sm 2.0801 1.7979 5.8459
Sm 2.0801 -1.7979 5.8459
Dy 0.0079 1.7906 8.7503
Dy 1.0504 0.0000 2.9455
Dy 0.0079 -1.7906 8.7503
Dy 4.1524 1.7906 2.9415
Dy 3.1098 0.0000 8.7463
Dy 4.1524 -1.7906 2.9415
Tm 3.1157 0.0000 0.0000
```

## Properties
V ... 32.75 Å³/atom
E ... -55.9 eV per cell
Space-group type ... No. 12
Energy of formation from the pure elements ... 0.0170 eV/atom
D(E_F) ... 1.247 states/eV/atom

---

(4)
La2SmDy6Tm3: relaxed, PBE.

extended XYZ file:
```
12
Lattice="3.0952 -5.3607 0.0000 3.0952 5.3607 0.0000 -2.0641 0.0000 11.6435" Properties=species:S:1:pos:R:3 pbc="T T T"
La 3.0952 3.5750 0.0000
La 3.0952 -3.5750 0.0000
Sm 3.0952 0.0000 0.0000
Dy -0.0033 1.7829 8.6578
Dy 1.0421 0.0000 2.9852
Dy -0.0033 -1.7829 8.6578
Dy 4.1296 1.7829 2.9858
Dy 3.0842 0.0000 8.6584
Dy 4.1296 -1.7829 2.9858
Tm -1.0321 0.0000 5.8218
Tm 2.0631 1.7848 5.8218
Tm 2.0631 -1.7848 5.8218
```

## Properties
V ... 32.20 Å³/atom
E ... -55.3 eV per cell
Space-group type ... No. 12
Energy of formation from the pure elements ... 0.0255 eV/atom
D(E_F) ... 1.412 states/eV/atom

---

(5)
LaSm6DyTm2: relaxed, PBE.

extended XYZ file:
```
20
Lattice="4.6777 -7.5435 0.0000 4.6777 7.5435 0.0000 -0.9738 0.0000 9.5202" Properties=species:S:1:pos:R:3 pbc="T T T"
La 3.9473 7.0154 7.1401
La 4.4342 -7.0154 2.3800
Sm 1.9620 4.1283 6.4862
Sm 4.0277 4.8554 0.5403
Sm 4.8407 4.8554 4.2198
Sm 2.9414 1.6939 8.4155
Sm 5.9327 4.1283 7.7941
Sm 4.9533 1.6939 5.8647
Sm 3.4283 -1.6939 3.6555
Sm 2.4489 -4.1283 1.7261
Sm 5.4402 -1.6939 1.1046
Sm 3.5408 -4.8554 5.3004
Sm 4.3538 -4.8554 8.9799
Sm 6.4196 -4.1283 3.0340
Dy 4.4342 1.3469 2.3800
Dy 3.9473 -1.3469 7.1401
Tm 1.8302 0.7486 5.2539
Tm 2.3171 -0.7486 0.4938
Tm 6.0644 0.7486 9.0264
Tm 6.5513 -0.7486 4.2663
```

## Properties
V ... 33.59 Å³/atom
E ... -91.2 eV per cell
Space-group type ... No. 15
Energy of formation from the pure elements ... 0.1173 eV/atom
D(E_F) ... 1.461 states/eV/atom

---

(6)
LaSm2Dy5Tm: relaxed, PBE.

extended XYZ file:
```
18
Lattice="-4.3954 4.3954 7.6806 4.3954 -4.3954 7.6806 4.3954 4.3954 -7.6806" Properties=species:S:1:pos:R:3 pbc="T T T"
La 0.0000 0.0000 3.8403
La 0.0000 0.0000 11.5208
Sm 5.4157 1.0204 0.0000
Sm 1.0204 3.3750 0.0000
Sm 3.3750 1.0204 7.6806
Sm -1.0204 3.3750 7.6806
Dy 0.0000 0.0000 0.0000
Dy 2.5690 1.8263 -2.0784
Dy 2.5690 -1.8263 5.6022
Dy 2.5690 1.8263 2.0784
Dy 2.5690 -1.8263 9.7590
Dy 0.0000 0.0000 7.6806
Dy 1.8263 6.2217 -2.0784
Dy 1.8263 2.5690 5.6022
Dy 1.8263 6.2217 2.0784
Dy 1.8263 2.5690 9.7590
Tm 4.3954 0.0000 3.8403
Tm 0.0000 4.3954 3.8403
```

## Properties
V ... 32.97 Å³/atom
E ... -78.8 eV per cell
Space-group type ... No. 140
Energy of formation from the pure elements ... 0.2720 eV/atom
D(E_F) ... 1.169 states/eV/atom